Record 1
Below is a relaxed LaDy3Fe crystal, with properties calculated at the PBE-GGA level.

Cell and atoms, written as POSCAR:
```
LaDy3Fe
1.0
-1.170 3.911 3.404
-4.394 -2.600 1.476
2.751 -2.489 3.806
Dy Fe La
3 1 1
Direct
0.000 0.500 0.000 Dy
0.500 0.000 0.000 Dy
0.000 0.000 0.500 Dy
0.000 0.000 0.000 Fe
0.500 0.500 0.500 La
```

## Properties
* SG: Pm-3m
* energy of formation: 0.094 eV per atom


Record 2
Below is a relaxed TlNi2Bi2 crystal, with properties calculated at the PBE-GGA level.

Cell and atoms, written as POSCAR:
```
TlNi2Bi2
1.0
-2.990 -7.647 1.890
6.662 -1.377 4.971
-1.613 1.250 2.508
Ni Bi Tl
4 4 2
Direct
0.882 0.382 0.500 Ni
0.118 0.618 0.500 Ni
0.382 0.118 0.500 Ni
0.618 0.882 0.500 Ni
0.148 0.352 0.000 Bi
0.352 0.852 0.000 Bi
0.648 0.148 0.000 Bi
0.852 0.648 0.000 Bi
0.500 0.500 0.000 Tl
0.000 0.000 0.000 Tl
```

## Properties
* excess energy over the best structure of this formula in the dataset: 0.157 eV/atom
* SG: P4/mbm
* energy of formation: 0.306 eV per atom


Record 3
Below is a relaxed Ac3Si2 crystal, with properties calculated at the PBE-GGA level.

Cell and atoms, written as POSCAR:
```
Ac3Si2
1.0
6.760 0.000 0.000
0.000 8.560 0.000
-3.380 -4.280 6.067
Ac Si
6 4
Direct
0.853 0.218 0.707 Ac
0.147 0.782 0.293 Ac
0.353 0.489 0.707 Ac
0.250 0.000 0.000 Ac
0.750 0.000 0.000 Ac
0.647 0.511 0.293 Ac
0.114 0.385 0.227 Si
0.886 0.615 0.773 Si
0.386 0.157 0.773 Si
0.614 0.843 0.227 Si
```

## Properties
* excess energy over the best structure of this formula in the dataset: 0.116 eV/atom
* SG: Ibam
* formation energy (no corrections): -0.341 eV per atom


Record 4
Below is a relaxed CoGePN2 crystal, with properties calculated at the PBE-GGA level.

Cell and atoms, written as POSCAR:
```
CoGePN2
1.0
3.261 0.000 0.000
0.000 7.684 0.000
0.000 0.000 3.261
P Co N Ge
1 1 2 1
Direct
0.000 0.000 0.000 P
0.500 0.500 0.500 Co
0.500 0.000 0.000 N
0.000 0.000 0.500 N
0.000 0.500 0.000 Ge
```

## Properties
* SG: P4/mmm
* formation energy (no corrections): 0.961 eV per atom


Record 5
Below is a relaxed DyY2Ho4Sc crystal, with properties calculated at the PBE-GGA level.

Cell and atoms, written as POSCAR:
```
DyY2Ho4Sc
1.0
-3.192 -2.267 -3.038
-0.382 -3.761 3.207
-7.929 0.843 7.703
Ho Dy Y Sc
4 1 2 1
Direct
0.500 0.255 0.745 Ho
0.000 0.755 0.745 Ho
0.000 0.245 0.255 Ho
0.500 0.745 0.255 Ho
0.500 0.500 0.000 Dy
0.500 0.000 0.500 Y
0.000 0.000 0.000 Y
0.000 0.500 0.500 Sc
```

## Properties
* SG: P4/mmm
* energy of formation: 0.036 eV per atom


Record 6
Below is a relaxed CrReSi3 crystal, with properties calculated at the PBE-GGA level.

Cell and atoms, written as POSCAR:
```
CrReSi3
1.0
-0.717 -3.844 -2.579
1.281 -2.673 3.628
-4.449 -0.150 1.460
Re Si Cr
1 3 1
Direct
0.000 0.000 0.000 Re
0.000 0.500 0.000 Si
0.500 0.000 0.000 Si
0.000 0.000 0.500 Si
0.500 0.500 0.500 Cr
```

## Properties
* excess energy over the best structure of this formula in the dataset: 0.000 eV/atom
* SG: Pm-3m
* formation energy (no corrections): 0.778 eV per atom


Record 7
Below is a relaxed CuSb2P crystal, with properties calculated at the PBE-GGA level.

Cell and atoms, written as POSCAR:
```
CuSb2P
1.0
-2.923 2.878 -0.337
-1.337 -0.914 3.784
6.229 6.774 3.838
Cu P Sb
2 2 4
Direct
0.500 0.500 0.000 Cu
0.000 0.000 0.000 Cu
0.000 0.500 0.852 P
0.500 0.000 0.148 P
0.000 0.500 0.223 Sb
0.500 0.000 0.777 Sb
0.500 0.500 0.500 Sb
0.000 0.000 0.500 Sb
```

## Properties
* SG: P4/nmm
* formation energy (no corrections): 0.278 eV per atom


Record 8
Below is a relaxed CrTeRhN2 crystal, with properties calculated at the PBE-GGA level.

Cell and atoms, written as POSCAR:
```
CrTeRhN2
1.0
3.847 0.000 0.000
0.000 3.847 0.000
0.000 0.000 5.910
N Te Rh Cr
2 1 1 1
Direct
0.500 0.000 0.000 N
0.000 0.500 0.000 N
0.000 0.000 0.500 Te
0.000 0.000 0.000 Rh
0.500 0.500 0.500 Cr
```

## Properties
* excess energy over the best structure of this formula in the dataset: 0.397 eV/atom
* SG: P4/mmm
* formation energy (no corrections): 1.080 eV per atom


Record 9
Below is a relaxed Hf3BiRh crystal, with properties calculated at the PBE-GGA level.

Cell and atoms, written as POSCAR:
```
Hf3BiRh
1.0
-0.732 -4.420 -2.252
3.565 1.114 -3.345
3.448 -2.089 2.980
Hf Bi Rh
3 1 1
Direct
0.000 0.500 0.000 Hf
0.500 0.000 0.000 Hf
0.000 0.000 0.500 Hf
0.500 0.500 0.500 Bi
0.000 0.000 0.000 Rh
```

## Properties
* excess energy over the best structure of this formula in the dataset: 0.000 eV/atom
* SG: Pm-3m
* energy of formation: 0.004 eV per atom


Record 10
Below is a relaxed Pr5Er12Sc2 crystal, with properties calculated at the PBE-GGA level.

Cell and atoms, written as POSCAR:
```
Pr5Er12Sc2
1.0
7.213 0.000 0.000
-3.607 8.599 3.467
0.000 0.095 9.876
Sc Er Pr
2 12 5
Direct
0.697 0.000 0.000 Sc
0.303 0.000 0.000 Sc
0.913 0.322 0.495 Er
0.502 0.003 0.686 Er
0.405 0.314 0.137 Er
0.909 0.314 0.137 Er
0.498 0.997 0.314 Er
0.595 0.686 0.863 Er
0.014 0.029 0.786 Er
0.986 0.971 0.214 Er
0.409 0.322 0.495 Er
0.087 0.678 0.505 Er
0.091 0.686 0.863 Er
0.591 0.678 0.505 Er
0.000 0.000 0.500 Pr
0.189 0.378 0.806 Pr
0.318 0.636 0.206 Pr
0.682 0.364 0.794 Pr
0.811 0.622 0.194 Pr
```

## Properties
* SG: C2/m
* energy of formation: 0.178 eV per atom


Record 11
Below is a relaxed TbNb4Se8 crystal, with properties calculated at the PBE-GGA level.

Cell and atoms, written as POSCAR:
```
TbNb4Se8
1.0
-5.611 -2.282 3.719
2.962 -4.207 -4.904
7.030 0.294 3.994
Nb Se Tb
4 8 1
Direct
0.500 0.500 0.000 Nb
0.500 0.000 0.000 Nb
0.000 0.500 0.000 Nb
0.000 0.000 0.000 Nb
0.001 0.759 0.760 Se
0.001 0.242 0.760 Se
0.482 0.241 0.240 Se
0.999 0.241 0.240 Se
0.509 0.255 0.764 Se
0.491 0.745 0.236 Se
0.518 0.759 0.760 Se
0.999 0.758 0.240 Se
0.000 0.500 0.500 Tb
```

## Properties
* SG: R-3m
* formation energy (no corrections): -0.957 eV per atom


Record 12
Below is a relaxed YPaHgC crystal, with properties calculated at the PBE-GGA level.

Cell and atoms, written as POSCAR:
```
YPaHgC
1.0
3.549 0.000 0.000
-1.774 3.073 0.000
-1.774 -1.024 7.942
Hg Pa Y C
1 1 1 1
Direct
0.970 0.383 0.368 Hg
0.082 0.939 0.036 Pa
0.517 0.157 0.689 Y
0.308 0.552 0.876 C
```

## Properties
* SG: R3m
* energy of formation: -0.345 eV per atom


Record 13
Below is a relaxed Cd2PdI crystal, with properties calculated at the PBE-GGA level.

Cell and atoms, written as POSCAR:
```
Cd2PdI
1.0
-0.656 3.438 3.801
-4.407 -2.335 1.352
2.017 -4.784 8.189
Pd Cd I
2 4 2
Direct
0.500 0.500 0.000 Pd
0.250 0.750 0.500 Pd
0.875 0.767 0.750 Cd
0.375 0.483 0.750 Cd
0.517 0.125 0.250 Cd
0.233 0.625 0.250 Cd
0.000 0.000 0.000 I
0.750 0.250 0.500 I
```

## Properties
* excess energy over the best structure of this formula in the dataset: 0.000 eV/atom
* SG: I-42d
* formation energy (no corrections): 0.037 eV per atom


Record 14
Below is a relaxed ErTiPb2 crystal, with properties calculated at the PBE-GGA level.

Cell and atoms, written as POSCAR:
```
ErTiPb2
1.0
4.366 0.000 0.000
0.000 4.734 0.000
0.000 0.000 4.734
Pb Ti Er
2 1 1
Direct
0.000 0.000 0.500 Pb
0.000 0.500 0.000 Pb
0.500 0.000 0.000 Ti
0.500 0.500 0.500 Er
```

## Properties
* SG: P4/mmm
* energy of formation: -0.071 eV per atom


Record 15
Below is a relaxed UNbAs crystal, with properties calculated at the PBE-GGA level.

Cell and atoms, written as POSCAR:
```
UNbAs
1.0
3.487 0.000 0.000
0.000 4.515 0.000
0.000 -2.258 3.910
U As Nb
1 1 1
Direct
0.667 0.667 0.333 U
0.167 0.000 0.000 As
0.167 0.333 0.667 Nb
```

## Properties
* SG: P-6m2
* energy of formation: -0.111 eV per atom


Record 16
Below is a relaxed ThCdCu2 crystal, with properties calculated at the PBE-GGA level.

Cell and atoms, written as POSCAR:
```
ThCdCu2
1.0
4.825 0.000 0.000
2.412 4.178 0.000
2.412 1.393 3.939
Cd Cu Th
1 2 1
Direct
0.250 0.250 0.250 Cd
0.000 0.000 0.000 Cu
0.500 0.500 0.500 Cu
0.750 0.750 0.750 Th
```

## Properties
* SG: Fm-3m
* energy of formation: -0.147 eV per atom


Record 17
Below is a relaxed Ba2PmOs3O12 crystal, with properties calculated at the PBE-GGA level.

Cell and atoms, written as POSCAR:
```
Ba2PmOs3O12
1.0
-3.224 1.985 5.929
1.242 -3.892 5.727
4.041 2.900 4.975
O Os Ba Pm
12 3 2 1
Direct
0.405 0.877 0.877 O
0.286 0.286 0.903 O
0.595 0.123 0.123 O
0.877 0.877 0.405 O
0.286 0.903 0.286 O
0.714 0.714 0.097 O
0.714 0.097 0.714 O
0.877 0.405 0.877 O
0.123 0.123 0.595 O
0.903 0.286 0.286 O
0.123 0.595 0.123 O
0.097 0.714 0.714 O
0.000 0.000 0.500 Os
0.500 0.000 0.000 Os
0.000 0.500 0.000 Os
0.380 0.380 0.380 Ba
0.620 0.620 0.620 Ba
0.000 0.000 0.000 Pm
```

## Properties
* SG: R-3m
* formation energy (no corrections): -1.749 eV per atom


Record 18
Below is a relaxed NaLa4Nd3Se8 crystal, with properties calculated at the PBE-GGA level.

Cell and atoms, written as POSCAR:
```
NaLa4Nd3Se8
1.0
8.571 0.000 0.000
0.000 8.528 -0.036
-4.286 -4.282 6.064
La Nd Se Na
4 3 8 1
Direct
0.500 0.000 0.500 La
0.000 0.000 0.500 La
0.000 0.000 0.000 La
0.500 0.000 0.000 La
0.000 0.500 0.500 Nd
0.500 0.500 0.000 Nd
0.500 0.500 0.500 Nd
0.750 0.743 0.997 Se
0.753 0.256 0.507 Se
0.753 0.257 0.003 Se
0.749 0.746 0.497 Se
0.251 0.254 0.503 Se
0.247 0.743 0.997 Se
0.247 0.744 0.493 Se
0.250 0.257 0.003 Se
0.000 0.500 0.000 Na
```

## Properties
* SG: R-3m
* formation energy (no corrections): -1.876 eV per atom


Record 19
Below is a relaxed Np4P5Ir crystal, with properties calculated at the PBE-GGA level.

Cell and atoms, written as POSCAR:
```
Np4P5Ir
1.0
3.854 0.000 0.472
1.898 3.354 0.472
0.073 0.043 15.358
P Np Ir
5 4 1
Direct
0.811 0.811 0.568 P
0.000 0.000 0.000 P
0.406 0.406 0.781 P
0.594 0.594 0.219 P
0.189 0.189 0.432 P
0.109 0.109 0.672 Np
0.703 0.703 0.891 Np
0.891 0.891 0.328 Np
0.297 0.297 0.109 Np
0.500 0.500 0.500 Ir
```

## Properties
* SG: R-3m
* energy of formation: -0.802 eV per atom


Record 20
Below is a relaxed Ba3TmTh2Sb6 crystal, with properties calculated at the PBE-GGA level.

Cell and atoms, written as POSCAR:
```
Ba3TmTh2Sb6
1.0
8.057 -0.006 -0.001
-4.031 6.976 -0.001
-1.344 -2.327 7.993
Sb Ba Th Tm
6 3 2 1
Direct
0.743 0.743 0.215 Sb
0.929 0.600 0.786 Sb
0.400 0.071 0.214 Sb
0.071 0.400 0.214 Sb
0.600 0.929 0.786 Sb
0.257 0.257 0.785 Sb
0.832 0.168 0.500 Ba
0.168 0.832 0.500 Ba
0.500 0.500 0.500 Ba
0.666 0.334 0.000 Th
0.334 0.666 0.000 Th
0.000 0.000 0.000 Tm
```

## Properties
* SG: C2/m
* formation energy (no corrections): -0.978 eV per atom